No. 1
K4Zr3AgS8: relaxed, GGA-PBE.

Cell: 7.7514 7.7514 21.9442 Å, 90.00 90.00 120.00°
Closest atoms and distances in Å follow each position.
Space group R-3m (No. 166, hexagonal axes)
Symmetry-distinct sites (fractional):
K1 0.0000 0.0000 0.0000 x3  6 S 3.06
K2 0.0000 0.5000 0.0000 x9  6 S 3.14-3.20
Zr1 0.0000 0.5000 0.5000 x9  6 S 2.61-2.67
Ag1 0.0000 0.0000 0.5000 x3  6 S 2.77
S1 0.0000 0.0000 0.2328 x6  3 Zr 2.67
S2 0.0185 0.5092 0.7678 x18  2 Zr 2.61, 1 Ag 2.77

Results
The calculation puts the mass density at 3.47 g/cm3. The total magnetization comes out at 0.000 Bohr magnetons per cell. The density of states at the Fermi level comes out at 13.43 states/eV/cell. Its formation energy from raw total energies is -1.32 eV per atom.



No. 2
GeTe3Au: relaxed, GGA-PBE.

Cell: 5.4318 5.4318 5.4318 Å, 90.00 90.00 90.00°
Closest atoms and distances in Å follow each position.
Space group Pm-3m (No. 221)
Symmetry-distinct sites (fractional):
Ge1 0.0000 0.0000 0.0000 x1  12 Te 3.84
Te1 0.0000 0.5000 0.5000 x3  2 Au 2.72
Au1 0.5000 0.5000 0.5000 x1  6 Te 2.72

Results
The calculation puts the mass density at 6.76 g/cm3. The total magnetization comes out at 0.000 Bohr magnetons per cell. The density of states at the Fermi level comes out at 4.41 states/eV/cell. Its formation energy from raw total energies is 0.58 eV per atom.



No. 3
NaCaZn2Rh: relaxed, GGA-PBE.

Cell: 4.9503 4.9503 5.1939 Å, 90.00 90.00 90.00°
Closest atoms and distances in Å follow each position.
Space group P4/mmm (No. 123)
Symmetry-distinct sites (fractional):
Na1 0.0000 0.0000 0.0000 x1  4 Ca 3.50, 8 Zn 3.59
Ca1 0.5000 0.5000 0.0000 x1  2 Rh 2.60
Zn1 0.0000 0.5000 0.5000 x2  2 Rh 2.48
Rh1 0.5000 0.5000 0.5000 x1  4 Zn 2.48, 2 Ca 2.60

Results
The energy relative to the elements is -119.6 meV/atom. The calculation puts the mass density at 3.87 g/cm3. The total magnetization comes out at 0.000 Bohr magnetons per cell. The density of states at the Fermi level comes out at 1.97 states/eV/cell.



No. 4
LiLuVOs: relaxed, GGA-PBE.

Cell: 6.4008 6.4008 6.4008 Å, 90.00 90.00 90.00°
Closest atoms and distances in Å follow each position.
Space group F-43m (No. 216)
Symmetry-distinct sites (fractional):
Li1 0.0000 0.0000 0.0000 x4  4 V 2.77, 4 Lu 2.77
Lu1 0.2500 0.2500 0.7500 x4  4 Li 2.77, 4 Os 2.77
V1 0.2500 0.2500 0.2500 x4  4 Li 2.77, 4 Os 2.77
Os1 0.0000 0.0000 0.5000 x4  4 Lu 2.77, 4 V 2.77

Results
The energy relative to the elements is -19.3 meV/atom. The calculation puts the mass density at 10.72 g/cm3. The total magnetization comes out at 3.709 Bohr magnetons per cell. The density of states at the Fermi level comes out at 12.86 states/eV/cell.